NaLiCa3 at its PBEsol-relaxed geometry. Source: Alexandria, functional meta-GGA SCAN.

Unit cell a=5.8911 b=5.8911 c=5.8911 alpha=90.00 beta=90.00 gamma=90.00
With the nearest neighbours (Å) after each atom.
Space group Pm-3m (No. 221)
Symmetry-distinct sites (fractional):
Na 0.0000 0.0000 0.0000 [1 per cell]  12 Ca 4.17
Li 0.5000 0.5000 0.5000 [1 per cell]  6 Ca 2.95
Ca 0.0000 0.5000 0.5000 [3 per cell]  2 Li 2.95

## Properties
ρ, g cm⁻³: 1.2
Energy, eV for the cell shown: -34.4
N(E_F), states/eV/atom: 0.852